Crystalline RbSn2Au at its relaxed geometry, computed with PBE-GGA.

```
RbSn2Au
1.0
5.716 0.000 0.000
0.000 5.716 0.000
2.858 2.858 9.688
Au Sn Rb
2 4 2
direct
0.750 0.250 0.500
0.000 0.000 0.000
0.896 0.625 0.250
0.854 0.125 0.250
0.375 0.146 0.750
0.875 0.104 0.750
0.500 0.500 0.000
0.250 0.750 0.500
```

Calculated values
symmetry = I-42d, No. 122
DOS at the Fermi energy = 1.2 states/eV/f.u.
ΔE_f = -0.058 eV per atom
energy = -3.120 eV per atom

Crystalline Rb2SnAu2 at its relaxed geometry, computed with PBE-GGA.

```
Rb2SnAu2
1.0
-5.964 -4.463 -0.443
-0.205 -0.465 7.445
-3.424 4.557 0.190
Rb Sn Au
4 2 4
direct
0.674 0.826 0.500
0.174 0.674 0.500
0.826 0.326 0.500
0.326 0.174 0.500
0.000 0.000 0.000
0.500 0.500 0.000
0.637 0.137 0.000
0.137 0.363 0.000
0.363 0.863 0.000
0.863 0.637 0.000
```

Calculated values
symmetry = P4/mbm, No. 127
DOS at the Fermi energy = 2.8 states/eV/f.u.
ΔE_f = -0.201 eV per atom
energy = -2.699 eV per atom